The following is a GGA-PBE calculation of a relaxed structure of SnHO, from Alexandria.

Summary:
Crystal system: tetragonal
E, Ry per atom: -0.323
SG: I4mm
E above lowest polymorph, eV/atom: 0.3307

a b c (Å): 5.847 5.847 5.847
angles (deg): 147.85 147.85 46.11
Fractional positions:
Sn  0.000  0.000  0.000
H  0.165  0.165  0.000
O  0.470  0.470  0.000